Here is crystalline VReRu3 at its relaxed geometry from the Alexandria database. Energies are from PBE.

Geometry as POSCAR:
```
VReRu3
1.0
-7.1062 1.3306 -1.7524
4.7078 -4.1734 3.9697
-0.3062 3.0091 3.5268
Ru V Re
6 2 2
direct
0.7496 0.2504 0.6653
0.0506 0.9494 0.0718
0.9494 0.0506 0.5718
0.4494 0.5506 0.2280
0.2504 0.7496 0.1653
0.5506 0.4494 0.7280
0.1381 0.8619 0.5907
0.8619 0.1381 0.0907
0.6407 0.3593 0.2202
0.3593 0.6407 0.7202
```

Computed properties:
Its energy relative to the lowest polymorph listed for this composition is 0 meV per atom. As for the formation energy: 13 meV/atom. For the total energy, the calculation gives -9.87 eV/atom. As for the symmetry: Cmc2_1 (36). Its density of states at the Fermi level is 0.653 states/eV per atom.